1.
# BaS3, optimized geometry, DFT PBE
# - uncorrected formation energy (eV per atom) = -1.06
# - V (Å³ per cell) = 206.43
# - crystal system = tetragonal
# - M_tot (μB per cell) = 0.00
# - ρ (Mg/m³) = 3.76
# - calculated total energy (eV per atom) = -4.635
data_BaS3
_symmetry_space_group_name_H-M 'P -4 21 m'
_symmetry_Int_Tables_number 113
_cell_length_a 6.9840
_cell_length_b 6.9840
_cell_length_c 4.2323
_cell_angle_alpha 90.00
_cell_angle_beta 90.00
_cell_angle_gamma 90.00
loop_
_symmetry_equiv_pos_as_xyz
'x,y,z'
'y,-x,-z'
'-x,-y,z'
'-y,x,-z'
'x+1/2,-y+1/2,-z'
'y+1/2,x+1/2,z'
'-x+1/2,y+1/2,-z'
'-y+1/2,-x+1/2,z'
loop_
_atom_site_label
_atom_site_type_symbol
_atom_site_fract_x
_atom_site_fract_y
_atom_site_fract_z
Ba1 Ba 0.0000 0.0000 0.0000
S1 S 0.0000 0.5000 0.2103
S2 S 0.1784 0.3216 0.4743

2.
# Mg6CuNi5, optimized geometry, DFT PBE
# - V (Å³ per cell) = 172.31
# - crystal system = monoclinic
# - M_tot (μB per cell) = 0.00
# - formation enthalpy at 0 K (eV per formula unit) = -1.7
# - ρ (Mg/m³) = 4.85
# - calculated total energy (eV per atom) = -3.686
data_Mg6CuNi5
_symmetry_space_group_name_H-M 'P 1 2/m 1'
_symmetry_Int_Tables_number 10
_cell_length_a 4.3280
_cell_length_b 6.1375
_cell_length_c 6.7730
_cell_angle_alpha 90.00
_cell_angle_beta 106.72
_cell_angle_gamma 90.00
loop_
_symmetry_equiv_pos_as_xyz
'x,y,z'
'-x,-y,-z'
'-x,y,-z'
'x,-y,z'
loop_
_atom_site_label
_atom_site_type_symbol
_atom_site_fract_x
_atom_site_fract_y
_atom_site_fract_z
Mg1 Mg 0.0000 0.2458 0.0000
Mg2 Mg 0.3295 0.2478 0.6620
Cu1 Cu 0.5000 0.5000 0.0000
Ni1 Ni 0.1674 0.0000 0.3300
Ni2 Ni 0.1674 0.5000 0.3306
Ni3 Ni 0.5000 0.0000 0.0000

3.
# TiAgIN2, optimized geometry, DFT PBE
# - uncorrected formation energy (eV per atom) = 1.89
# - distance to the lowest polymorph of the same formula (eV per atom) = 1.524
# - V (Å³ per cell) = 93.06
# - crystal system = tetragonal
# - M_tot (μB per cell) = 0.00
# - ρ (Mg/m³) = 5.54
# - calculated total energy (eV per atom) = -3.901
data_TiAgIN2
_symmetry_space_group_name_H-M 'P 4/m m m'
_symmetry_Int_Tables_number 123
_symmetry_space_group_name_Hall '-P 4 2'
_cell_length_a 4.0948
_cell_length_b 4.0948
_cell_length_c 5.5502
_cell_angle_alpha 90.00
_cell_angle_beta 90.00
_cell_angle_gamma 90.00
loop_
_atom_site_label
_atom_site_type_symbol
_atom_site_fract_x
_atom_site_fract_y
_atom_site_fract_z
Ti1 Ti 0.0000 0.0000 0.0000
Ag1 Ag 0.5000 0.5000 0.5000
I1 I 0.5000 0.5000 0.0000
N1 N 0.0000 0.5000 0.5000

4.
# DyYScIr, optimized geometry, DFT PBE
# - V (Å³ per cell) = 362.46
# - crystal system = cubic
# - M_tot (μB per cell) = 1.81
# - formation enthalpy at 0 K (eV per formula unit) = -1.0
# - ρ (Mg/m³) = 8.95
# - calculated total energy (eV per atom) = -6.819
data_DyYScIr
_symmetry_space_group_name_H-M 'F -4 3 m'
_symmetry_Int_Tables_number 216
_symmetry_space_group_name_Hall 'F -4 2 3'
_cell_length_a 7.1300
_cell_length_b 7.1300
_cell_length_c 7.1300
_cell_angle_alpha 90.00
_cell_angle_beta 90.00
_cell_angle_gamma 90.00
loop_
_atom_site_label
_atom_site_type_symbol
_atom_site_fract_x
_atom_site_fract_y
_atom_site_fract_z
Dy1 Dy 0.0000 0.0000 0.0000
Y1 Y 0.0000 0.0000 0.5000
Sc1 Sc 0.2500 0.2500 0.7500
Ir1 Ir 0.2500 0.2500 0.2500

5.
# HoMgZnRh, optimized geometry, DFT PBE
# - V (Å³ per cell) = 300.06
# - crystal system = cubic
# - M_tot (μB per cell) = 0.00
# - formation enthalpy at 0 K (eV per formula unit) = -1.9
# - ρ (Mg/m³) = 7.91
# - calculated total energy (eV per atom) = -4.167
data_HoMgZnRh
_symmetry_space_group_name_H-M 'F -4 3 m'
_symmetry_Int_Tables_number 216
_symmetry_space_group_name_Hall 'F -4 2 3'
_cell_length_a 6.6947
_cell_length_b 6.6947
_cell_length_c 6.6947
_cell_angle_alpha 90.00
_cell_angle_beta 90.00
_cell_angle_gamma 90.00
loop_
_atom_site_label
_atom_site_type_symbol
_atom_site_fract_x
_atom_site_fract_y
_atom_site_fract_z
Ho1 Ho 0.0000 0.0000 0.0000
Mg1 Mg 0.0000 0.0000 0.5000
Zn1 Zn 0.2500 0.2500 0.7500
Rh1 Rh 0.2500 0.2500 0.2500

6.
# KBaOs2, optimized geometry, DFT PBE
# - distance to the lowest polymorph of the same formula (eV per atom) = 0.864
# - V (Å³ per cell) = 99.82
# - crystal system = monoclinic
# - M_tot (μB per cell) = 0.00
# - formation enthalpy at 0 K (eV per formula unit) = 5.2
# - ρ (Mg/m³) = 9.26
# - calculated total energy (eV per atom) = -5.060
data_KBaOs2
_symmetry_space_group_name_H-M 'P 1 2/m 1'
_symmetry_Int_Tables_number 10
_cell_length_a 2.9011
_cell_length_b 5.3385
_cell_length_c 6.4456
_cell_angle_alpha 90.00
_cell_angle_beta 90.83
_cell_angle_gamma 90.00
loop_
_symmetry_equiv_pos_as_xyz
'x,y,z'
'-x,-y,-z'
'-x,y,-z'
'x,-y,z'
loop_
_atom_site_label
_atom_site_type_symbol
_atom_site_fract_x
_atom_site_fract_y
_atom_site_fract_z
K1 K 0.0000 0.0000 0.0000
Ba1 Ba 0.0000 0.0000 0.5000
Os1 Os 0.4901 0.5000 0.8209

7.
# Cd6SnHg2, optimized geometry, DFT PBE
# - distance to the lowest polymorph of the same formula (eV per atom) = 0.055
# - V (Å³ per cell) = 473.36
# - crystal system = monoclinic
# - M_tot (μB per cell) = 0.00
# - formation enthalpy at 0 K (eV per formula unit) = 0.7
# - ρ (Mg/m³) = 8.38
# - calculated total energy (eV per atom) = -1.040
data_Cd6SnHg2
_symmetry_space_group_name_H-M 'C 1 2/m 1'
_symmetry_Int_Tables_number 12
_cell_length_a 12.6263
_cell_length_b 7.2882
_cell_length_c 5.1439
_cell_angle_alpha 90.00
_cell_angle_beta 90.03
_cell_angle_gamma 90.00
loop_
_symmetry_equiv_pos_as_xyz
'x,y,z'
'-x,-y,-z'
'-x,y,-z'
'x,-y,z'
'x+1/2,y+1/2,z'
'-x+1/2,-y+1/2,-z'
'-x+1/2,y+1/2,-z'
'x+1/2,-y+1/2,z'
loop_
_atom_site_label
_atom_site_type_symbol
_atom_site_fract_x
_atom_site_fract_y
_atom_site_fract_z
Cd1 Cd 0.0962 0.2100 0.1787
Cd2 Cd 0.1936 0.5000 0.8211
Sn1 Sn 0.0000 0.5000 0.5000
Hg1 Hg 0.1674 0.0000 0.6805

8.
# La3Pm5Er2, optimized geometry, DFT PBE
# - V (Å³ per cell) = 1390.56
# - crystal system = monoclinic
# - M_tot (μB per cell) = 0.00
# - formation enthalpy at 0 K (eV per formula unit) = 1.7
# - ρ (Mg/m³) = 7.05
# - calculated total energy (eV per atom) = -4.595
data_La3Pm5Er2
_symmetry_space_group_name_H-M 'C 1 2/c 1'
_symmetry_Int_Tables_number 15
_cell_length_a 11.0111
_cell_length_b 15.0770
_cell_length_c 9.9870
_cell_angle_alpha 90.00
_cell_angle_beta 123.00
_cell_angle_gamma 90.00
loop_
_symmetry_equiv_pos_as_xyz
'x,y,z'
'-x,-y,-z'
'-x,y,-z+1/2'
'x,-y,z+1/2'
'x+1/2,y+1/2,z'
'-x+1/2,-y+1/2,-z'
'-x+1/2,y+1/2,-z+1/2'
'x+1/2,-y+1/2,z+1/2'
loop_
_atom_site_label
_atom_site_type_symbol
_atom_site_fract_x
_atom_site_fract_y
_atom_site_fract_z
La1 La 0.0000 0.2265 0.2500
La2 La 0.1485 0.1266 0.0547
Pm1 Pm 0.0000 0.0184 0.2500
Pm2 Pm 0.0000 0.2710 0.7500
Pm3 Pm 0.0000 0.4739 0.7500
Pm4 Pm 0.2339 0.3793 0.2271
Er1 Er 0.1552 0.3780 0.5512

9.
# NdZrRhAu, optimized geometry, DFT PBE
# - V (Å³ per cell) = 342.85
# - crystal system = cubic
# - M_tot (μB per cell) = 0.00
# - formation enthalpy at 0 K (eV per formula unit) = -2.1
# - ρ (Mg/m³) = 10.37
# - calculated total energy (eV per atom) = -6.510
data_NdZrRhAu
_symmetry_space_group_name_H-M 'F -4 3 m'
_symmetry_Int_Tables_number 216
_symmetry_space_group_name_Hall 'F -4 2 3'
_cell_length_a 6.9990
_cell_length_b 6.9990
_cell_length_c 6.9990
_cell_angle_alpha 90.00
_cell_angle_beta 90.00
_cell_angle_gamma 90.00
loop_
_atom_site_label
_atom_site_type_symbol
_atom_site_fract_x
_atom_site_fract_y
_atom_site_fract_z
Nd1 Nd 0.0000 0.0000 0.0000
Zr1 Zr 0.0000 0.0000 0.5000
Rh1 Rh 0.2500 0.2500 0.7500
Au1 Au 0.2500 0.2500 0.2500

10.
# CuSe2Cl, optimized geometry, DFT PBE
# - uncorrected formation energy (eV per atom) = 0.28
# - distance to the lowest polymorph of the same formula (eV per atom) = 0.573
# - V (Å³ per cell) = 256.79
# - crystal system = trigonal
# - M_tot (μB per cell) = 0.00
# - ρ (Mg/m³) = 4.98
# - calculated total energy (eV per atom) = -2.946
data_CuSe2Cl
_symmetry_space_group_name_H-M 'R -3 m'
_symmetry_Int_Tables_number 166
_symmetry_space_group_name_Hall '-R 3 2"'
_cell_length_a 2.9317
_cell_length_b 2.9317
_cell_length_c 34.4984
_cell_angle_alpha 90.00
_cell_angle_beta 90.00
_cell_angle_gamma 120.00
loop_
_atom_site_label
_atom_site_type_symbol
_atom_site_fract_x
_atom_site_fract_y
_atom_site_fract_z
Cu1 Cu 0.0000 0.0000 0.0000
Se1 Se 0.0000 0.0000 0.0667
Cl1 Cl 0.0000 0.0000 0.5000

11.
# BaRe2Mo, optimized geometry, DFT PBE
# - distance to the lowest polymorph of the same formula (eV per atom) = 0.868
# - V (Å³ per cell) = 76.51
# - crystal system = tetragonal
# - M_tot (μB per cell) = 0.00
# - formation enthalpy at 0 K (eV per formula unit) = 6.5
# - ρ (Mg/m³) = 13.15
# - calculated total energy (eV per atom) = -7.778
data_BaRe2Mo
_symmetry_space_group_name_H-M 'P 4/m m m'
_symmetry_Int_Tables_number 123
_symmetry_space_group_name_Hall '-P 4 2'
_cell_length_a 4.8840
_cell_length_b 4.8840
_cell_length_c 3.2075
_cell_angle_alpha 90.00
_cell_angle_beta 90.00
_cell_angle_gamma 90.00
loop_
_atom_site_label
_atom_site_type_symbol
_atom_site_fract_x
_atom_site_fract_y
_atom_site_fract_z
Ba1 Ba 0.0000 0.0000 0.0000
Re1 Re 0.0000 0.5000 0.5000
Mo1 Mo 0.5000 0.5000 0.0000

12.
# Th2AlAu, optimized geometry, DFT PBE
# - distance to the lowest polymorph of the same formula (eV per atom) = 0.112
# - V (Å³ per cell) = 417.00
# - crystal system = cubic
# - M_tot (μB per cell) = 0.00
# - formation enthalpy at 0 K (eV per formula unit) = -1.3
# - ρ (Mg/m³) = 10.96
# - calculated total energy (eV per atom) = -5.791
data_Th2AlAu
_symmetry_space_group_name_H-M 'F m -3 m'
_symmetry_Int_Tables_number 225
_symmetry_space_group_name_Hall '-F 4 2 3'
_cell_length_a 7.4710
_cell_length_b 7.4710
_cell_length_c 7.4710
_cell_angle_alpha 90.00
_cell_angle_beta 90.00
_cell_angle_gamma 90.00
loop_
_atom_site_label
_atom_site_type_symbol
_atom_site_fract_x
_atom_site_fract_y
_atom_site_fract_z
Th1 Th 0.2500 0.2500 0.2500
Al1 Al 0.0000 0.0000 0.0000
Au1 Au 0.0000 0.0000 0.5000

V of number 1 (BaS3)? 206.43 Å³ per cell